(1)
Here is a geometry-optimized SiHSN2 structure from Alexandria via LeMat-Bulk. Energies are from PBE.

Results
* space group: P4/mmm, No. 123
* energy: -4.91 eV/atom

POSCAR file:
```
SiHSN2
1.0
-2.714 -1.412 -1.387
1.537 -2.987 0.032
-2.042 -0.997 5.010
H S Si N
1 1 1 2
Direct
0.500 0.500 0.500
0.000 0.000 0.500
0.000 0.000 0.000
0.000 0.500 0.000
0.500 0.000 0.000
```

***

(2)
Here is a geometry-optimized SiHSN2 structure from Alexandria via LeMat-Bulk. Energies are from PBE.

Results
* space group: P4/mmm, No. 123
* energy: -4.00 eV/atom

POSCAR file:
```
SiHSN2
1.0
3.903 0.000 0.000
0.000 3.903 0.000
0.000 0.000 2.990
H S Si N
1 1 1 2
Direct
0.000 0.000 0.000
0.000 0.000 0.500
0.500 0.500 0.500
0.000 0.500 0.000
0.500 0.000 0.000
```

***

(3)
Here is a geometry-optimized TaHS2N structure from Alexandria via LeMat-Bulk. Energies are from PBE.

Results
* space group: P4/mmm, No. 123
* energy: -5.56 eV/atom

POSCAR file:
```
TaHS2N
1.0
3.324 0.000 0.000
0.000 3.324 0.000
0.000 0.000 5.108
H S N Ta
1 2 1 1
Direct
0.000 0.000 0.000
0.000 0.500 0.000
0.500 0.000 0.000
0.000 0.000 0.500
0.500 0.500 0.500
```

***

(4)
Here is a geometry-optimized TaHSN2 structure from Alexandria via LeMat-Bulk. Energies are from PBE.

Results
* space group: P4/mmm, No. 123
* energy: -6.38 eV/atom

POSCAR file:
```
TaHSN2
1.0
-1.176 1.749 -3.443
-3.714 0.471 1.508
1.289 4.407 1.798
H S N Ta
1 1 2 1
Direct
0.500 0.500 0.500
0.000 0.000 0.500
0.000 0.500 0.000
0.500 0.000 0.000
0.000 0.000 0.000
```

***

(5)
Here is a geometry-optimized TaHSN2 structure from Alexandria via LeMat-Bulk. Energies are from PBE.

Results
* space group: P4/mmm, No. 123
* energy: -6.05 eV/atom

POSCAR file:
```
TaHSN2
1.0
3.896 0.000 0.000
0.000 3.896 0.000
0.000 0.000 2.939
H S N Ta
1 1 2 1
Direct
0.000 0.000 0.000
0.000 0.000 0.500
0.000 0.500 0.000
0.500 0.000 0.000
0.500 0.500 0.500
```

***

(6)
Here is a geometry-optimized TaHS2N structure from Alexandria via LeMat-Bulk. Energies are from PBE.

Results
* space group: P4/mmm, No. 123
* energy: -5.89 eV/atom

POSCAR file:
```
TaHS2N
1.0
-1.976 3.895 -2.070
1.278 -1.665 -4.354
-3.535 -1.949 -0.292
H S N Ta
1 2 1 1
Direct
0.500 0.500 0.500
0.000 0.500 0.000
0.500 0.000 0.000
0.000 0.000 0.500
0.000 0.000 0.000
```